(1)
Density functional theory data (GGA-PBE) for an optimized crystal structure of Th2SiNi6Ge.

## Properties
Crystal system ... triclinic
Formation energy without anion corrections ... -0.523 eV/atom
Magnetic moment ... 0.00 μB per formula unit
Density of states at the Fermi level ... 9.0 states/eV/cell

abc: 6.3856 6.1128 6.1121
angles: 47.96 78.52 96.79
Closest atoms and distances in Å follow each position.
Element x y z (fractional)
Ni 0.0918 0.2493 0.1575  1 Si 2.36, 4 Ni 2.46-2.47, 1 Ge 2.48
Ni 0.2361 0.2392 0.5070  1 Si 2.29, 1 Ge 2.38, 4 Ni 2.46-2.51
Ni 0.9082 0.7507 0.8425  1 Si 2.36, 4 Ni 2.46-2.47, 1 Ge 2.48
Ni 0.7639 0.7608 0.4930  1 Si 2.29, 1 Ge 2.38, 4 Ni 2.46-2.51
Ni 0.7638 0.2563 0.9978  1 Si 2.30, 1 Ge 2.38, 4 Ni 2.46-2.51
Ni 0.2362 0.7437 0.0022  1 Si 2.30, 1 Ge 2.38, 4 Ni 2.46-2.51
Si 0.0000 0.0000 0.0000  6 Ni 2.29-2.36
Th 0.7149 0.2528 0.5383  9 Ni 2.90-3.24, 2 Si 3.24-3.25
Th 0.2851 0.7472 0.4617  9 Ni 2.90-3.24, 2 Si 3.24-3.25
Ge 0.5000 0.5000 0.0000  6 Ni 2.38-2.48

---

(2)
Density functional theory data (GGA-PBE) for an optimized crystal structure of CuPOsO2.

## Properties
Crystal system ... tetragonal
E above lowest polymorph ... 1015 meV per atom
Formation energy without anion corrections ... 0.750 eV/atom
Magnetic moment ... 2.90 μB per formula unit
Density of states at the Fermi level ... 4.5 states/eV/cell

abc: 3.4985 3.4985 6.0615
angles: 90.00 90.00 90.00
Closest atoms and distances in Å follow each position.
Element x y z (fractional)
O 0.5000 0.0000 0.0000  2 Cu 1.75
O 0.0000 0.5000 0.0000  2 Cu 1.75
P 0.0000 0.0000 0.5000  4 Os 2.47
Os 0.5000 0.5000 0.5000  4 P 2.47
Cu 0.0000 0.0000 0.0000  4 O 1.75

---

(3)
Density functional theory data (GGA-PBE) for an optimized crystal structure of Cs2Tl12Pb7.

## Properties
Crystal system ... trigonal
Total DFT energy (no corrections) ... -55.90 eV/f.u.
Magnetic moment ... 0.00 μB per formula unit
Density of states at the Fermi level ... 10.8 states/eV/cell

abc: 5.0231 13.1621 13.1621
angles: 120.00 90.00 90.00
Closest atoms and distances in Å follow each position.
Element x y z (fractional)
Pb 0.2637 0.8992 0.3033  7 Tl 3.21-3.38
Pb 0.7363 0.3033 0.4042  7 Tl 3.21-3.38
Pb 0.2637 0.4042 0.1008  7 Tl 3.21-3.38
Pb 0.5000 0.0000 0.0000  6 Tl 3.21
Pb 0.2637 0.6967 0.5958  7 Tl 3.21-3.38
Pb 0.7363 0.1008 0.6967  7 Tl 3.21-3.38
Pb 0.7363 0.5958 0.8992  7 Tl 3.21-3.38
Tl 0.7747 0.8683 0.1229  4 Pb 3.21-3.38
Tl 0.2419 0.6344 0.0695  4 Pb 3.21-3.30
Tl 0.2253 0.1229 0.2546  4 Pb 3.21-3.38
Tl 0.2419 0.9305 0.5650  4 Pb 3.21-3.30
Tl 0.7581 0.0695 0.4350  4 Pb 3.21-3.30
Tl 0.7747 0.2546 0.1317  4 Pb 3.21-3.38
Tl 0.2253 0.1317 0.8771  4 Pb 3.21-3.38
Tl 0.7581 0.5650 0.6344  4 Pb 3.21-3.30
Tl 0.2419 0.4350 0.3656  4 Pb 3.21-3.30
Tl 0.7747 0.8771 0.7454  4 Pb 3.21-3.38
Tl 0.7581 0.3656 0.9305  4 Pb 3.21-3.30
Tl 0.2253 0.7454 0.8683  4 Pb 3.21-3.38
Cs 0.7480 0.6667 0.3333  6 Pb 4.08-4.18, 6 Tl 4.11-4.15
Cs 0.2520 0.3333 0.6667  6 Pb 4.08-4.18, 6 Tl 4.11-4.15